Density functional theory data (PBE+U) for a geometry-optimized Tc3WF structure.

The structure in POSCAR format:
```
Tc3WF
1.0
4.1599 0.0000 0.0000
0.0000 4.1599 0.0000
0.0000 0.0000 4.1599
Tc W F
3 1 1
Direct
0.0000 0.0000 0.5000
0.0000 0.5000 0.0000
0.5000 0.0000 0.0000
0.5000 0.5000 0.5000
0.0000 0.0000 0.0000
```

Computed properties:
N(E_F) (states/eV per cell): 4.3
Energy (eV/f.u.): -35.6
ρ (g cm⁻³): 11.46
Crystal system: cubic
Excess energy over the best structure of this formula in the dataset (eV per atom): 0.000
Symmetry: Pm-3m, No. 221